Record 1
Here is HfZrSb after structural relaxation from Alexandria via LeMat-Bulk. Energies are from PBE.

Cell: 5.4695 5.4695 5.2758 Å, 90.00 90.00 122.33°
With the nearest neighbours (Å) after each atom.
Atoms (fractional coordinates):
Hf 0.0868 0.9132 0.7500  5 Sb 3.07-3.23, 2 Hf 3.12, 3 Zr 3.12
Hf 0.9132 0.0868 0.2500  5 Sb 3.07-3.23, 2 Hf 3.12, 3 Zr 3.12
Zr 0.4122 0.5878 0.7500  5 Sb 3.06-3.23, 3 Hf 3.12, 2 Zr 3.13
Zr 0.5878 0.4122 0.2500  5 Sb 3.06-3.23, 3 Hf 3.12, 2 Zr 3.13
Sb 0.2503 0.7497 0.2500  5 Zr 3.06-3.23, 5 Hf 3.07-3.23
Sb 0.7497 0.2503 0.7500  5 Zr 3.06-3.23, 5 Hf 3.07-3.23

Values from the calculation:
Uncorrected energy in eV per atom: -8.00
Total magnetization in μB/atom: 0.00
Space group: Cmcm, No. 63

---

Record 2
Here is DyThAg2 after structural relaxation from Alexandria via LeMat-Bulk. Energies are from PBE.

Cell: 5.2337 5.2337 5.2337 Å, 60.00 60.00 60.00°
With the nearest neighbours (Å) after each atom.
Atoms (fractional coordinates):
Dy 0.0000 0.0000 0.0000  8 Ag 3.20
Th 0.5000 0.5000 0.5000  8 Ag 3.20
Ag 0.2500 0.2500 0.2500  4 Th 3.20, 4 Dy 3.20
Ag 0.7500 0.7500 0.7500  4 Th 3.20, 4 Dy 3.20

Values from the calculation:
Polymorph energy (0 for the lowest one) in meV per atom: 37
Formation energy in eV per atom: -0.1362
Uncorrected energy in eV per atom: -4.57
Total magnetization in μB/atom: 0.00
Space group: Fm-3m, No. 225

---

Record 3
Here is La3Nd12Pu after structural relaxation from Alexandria via LeMat-Bulk. Energies are from PBE.

Cell: 5.2029 5.2029 20.7498 Å, 90.00 90.00 90.00°
With the nearest neighbours (Å) after each atom.
Atoms (fractional coordinates):
La 0.0000 0.0000 0.0000  12 Nd 3.68-3.70
La 0.0000 0.0000 0.2522  12 Nd 3.68-3.72
La 0.0000 0.0000 0.7478  12 Nd 3.68-3.72
Nd 0.0000 0.5000 0.1267  8 Nd 3.68-3.70, 4 La 3.68-3.70
Nd 0.0000 0.5000 0.3805  8 Nd 3.59-3.71, 2 Pu 3.59, 2 La 3.72
Nd 0.0000 0.5000 0.6195  8 Nd 3.59-3.71, 2 Pu 3.59, 2 La 3.72
Nd 0.0000 0.5000 0.8733  8 Nd 3.68-3.70, 4 La 3.68-3.70
Nd 0.5000 0.0000 0.1267  8 Nd 3.68-3.70, 4 La 3.68-3.70
Nd 0.5000 0.0000 0.3805  8 Nd 3.59-3.71, 2 Pu 3.59, 2 La 3.72
Nd 0.5000 0.0000 0.6195  8 Nd 3.59-3.71, 2 Pu 3.59, 2 La 3.72
Nd 0.5000 0.0000 0.8733  8 Nd 3.68-3.70, 4 La 3.68-3.70
Nd 0.5000 0.5000 0.0000  4 La 3.68, 8 Nd 3.70
Nd 0.5000 0.5000 0.2533  4 La 3.68, 8 Nd 3.70-3.71
Nd 0.5000 0.5000 0.5000  8 Nd 3.59, 4 Pu 3.68
Nd 0.5000 0.5000 0.7467  4 La 3.68, 8 Nd 3.70-3.71
Pu 0.0000 0.0000 0.5000  12 Nd 3.59-3.68

Values from the calculation:
Formation energy in eV per atom: 0.0440
Uncorrected energy in eV per atom: -5.35
Total magnetization in μB/atom: 0.39
Space group: P4/mmm, No. 123

---

Record 4
Here is Fe2AsRu after structural relaxation from Alexandria via LeMat-Bulk. Energies are from PBE.

Cell: 4.9703 4.9703 4.9703 Å, 145.92 130.37 61.58°
With the nearest neighbours (Å) after each atom.
Atoms (fractional coordinates):
Fe 0.2369 0.2369 0.0000  2 As 2.49, 4 Fe 2.55, 2 Ru 2.68
Fe 0.7631 0.7631 0.0000  2 As 2.49, 4 Fe 2.55, 2 Ru 2.68
As 0.0000 0.5000 0.5000  4 Fe 2.49, 4 Ru 2.54
Ru 0.5000 0.0000 0.5000  4 As 2.54, 4 Fe 2.68

Values from the calculation:
Formation energy in eV per atom: 0.0501
Uncorrected energy in eV per atom: -7.66
Total magnetization in μB/atom: 1.20
Space group: Immm, No. 71

---

Record 5
Here is LaCeSn2Ru2 after structural relaxation from Alexandria via LeMat-Bulk. Energies are from PBE.

Cell: 6.4052 6.4052 5.1268 Å, 102.44 102.44 44.04°
With the nearest neighbours (Å) after each atom.
Atoms (fractional coordinates):
La 0.0000 0.0000 0.0000  2 Ru 2.68-2.69
Ce 0.2696 0.2696 0.6548  1 Ru 2.36
Sn 0.5389 0.5389 0.5136  3 Ru 2.71-2.92
Sn 0.7118 0.7118 0.1392  3 Ru 2.70-2.74
Ru 0.3146 0.3146 0.1285  1 Ce 2.36
Ru 0.9308 0.9308 0.4616  2 La 2.68-2.69, 3 Sn 2.71-2.74

Values from the calculation:
Formation energy in eV per atom: -0.6061
Uncorrected energy in eV per atom: -6.84
Total magnetization in μB/atom: 0.01
Space group: Cm, No. 8

---

Record 6
Here is Mg2ZrCu2 after structural relaxation from Alexandria via LeMat-Bulk. Energies are from PBE.

Cell: 6.5503 6.5503 6.5503 Å, 145.58 145.58 49.47°
With the nearest neighbours (Å) after each atom.
Atoms (fractional coordinates):
Mg 0.2500 0.7500 0.5000  4 Cu 2.65, 4 Mg 2.74
Mg 0.7500 0.2500 0.5000  4 Cu 2.65, 4 Mg 2.74
Zr 0.0000 0.0000 0.0000  8 Cu 2.98
Cu 0.4023 0.4023 0.0000  1 Cu 2.32
Cu 0.5977 0.5977 0.0000  1 Cu 2.32

Values from the calculation:
Polymorph energy (0 for the lowest one) in meV per atom: 37
Formation energy in eV per atom: 0.0530
Uncorrected energy in eV per atom: -3.93
Total magnetization in μB/atom: 0.00
Space group: I4/mmm, No. 139

---

Look up the uncorrected energy of the sixth one.
-3.93 eV per atom

---

The lowest uncorrected energy belongs to which entry?
HfZrSb

---

total magnetization of number 2 (DyThAg2)?
0.00 μB/atom

---

The highest uncorrected energy belongs to which entry?
Mg2ZrCu2